First-principles (PBE) data for a relaxed LaSmHoZn crystal, as listed in the Alexandria database.

Geometry as POSCAR:
```
LaSmHoZn
1.0
3.630 0.000 0.000
0.000 3.630 0.000
0.000 0.000 8.815
La Sm Ho Zn
1 1 1 1
direct
0.000 0.000 0.000 La
0.500 0.500 0.695 Sm
0.500 0.500 0.295 Ho
0.000 0.000 0.485 Zn
```

Summary:
DFT formation energy in meV per atom: -151
E_tot in eV/atom: -4.025